{
  "formula": "Hf2ZnAu4",
  "functional": "PBE-GGA",
  "state": "optimized geometry",
  "lattice_angstrom": [[4.1365, -2.3890, 0.0000], [4.1365, 2.3890, 0.0000], [-2.7702, 0.0000, 6.6410]],
  "species": ["Hf", "Hf", "Zn", "Au", "Au", "Au", "Au"],
  "fractional_positions": [[0.2265, 0.2265, 0.1787], [0.7735, 0.7735, 0.8213], [0.5000, 0.5000, 0.0000], [0.0860, 0.0860, 0.7590], [0.3675, 0.3675, 0.6037], [0.6325, 0.6325, 0.3963], [0.9140, 0.9140, 0.2410]],
  "de_polymorph_mev_per_atom": 0,
  "magmom_total_mub_per_fu": 0.00,
  "delta_e_f_ev_per_atom": -0.377,
  "space_group": "No. 12"
}